Here is a geometry-optimized CePm2NpP4 structure from Alexandria via LeMat-Bulk. Energies are from PBE-GGA.

Results
Space-group type ... No. 10
Formation enthalpy at 0 K ... -10.95 eV per formula unit

Geometry as POSCAR:
```
CePm2NpP4
1.0
7.0506 0.0000 0.0000
0.0000 4.0678 0.0000
-2.3535 0.0000 6.6753
Ce Pm Np P
1 2 1 4
Direct
0.0000 0.0000 0.0000
0.0000 0.5000 0.5000
0.5000 0.0000 0.5000
0.5000 0.5000 0.0000
0.2513 0.5000 0.2414
0.2586 0.0000 0.7616
0.7413 0.0000 0.2384
0.7487 0.5000 0.7586
```